The following is a DFT calculation (PBE) of an optimized crystal structure of LaThPtSe.

a b c (Å): 4.1492 4.1513 7.9816
angles (deg): 90.00 105.11 120.01
With the nearest neighbours (Å) after each atom.
Atoms (fractional coordinates):
La  0.4843  0.1401  0.6393  3 Pt 3.02, 3 Se 3.22
Se  0.9630  0.3795  0.3575  3 Th 3.14, 3 La 3.22
Th  0.1187  0.9573  0.0916  3 Pt 2.88, 3 Se 3.14
Pt  0.3119  0.5539  0.8813  3 Th 2.88, 3 La 3.02

Values from the calculation:
E_tot	-6.866	eV/atom
uncorrected formation energy	-1.398	eV per atom